# PBE-GGA SmYH4, relaxed
data_SmYH4
_symmetry_space_group_name_H-M 'I 41/a m d'
_symmetry_Int_Tables_number 141
_cell_length_a 5.2725
_cell_length_b 5.2725
_cell_length_c 10.6054
_cell_angle_alpha 90.00
_cell_angle_beta 90.00
_cell_angle_gamma 90.00
loop_
_symmetry_equiv_pos_as_xyz
'x,y,z'
'-x,-y,-z'
'-y+1/4,x+3/4,z+1/4'
'y+1/4,-x+3/4,-z+1/4'
'-x+1/2,-y,z+1/2'
'x+1/2,y,-z+1/2'
'y+1/4,-x+1/4,z+3/4'
'-y+1/4,x+1/4,-z+3/4'
'x,-y,-z'
'-x,y,z'
'-y+1/4,-x+1/4,-z+3/4'
'y+1/4,x+1/4,z+3/4'
'-x+1/2,y,-z+1/2'
'x+1/2,-y,z+1/2'
'y+1/4,x+3/4,-z+1/4'
'-y+1/4,-x+3/4,z+1/4'
'x+1/2,y+1/2,z+1/2'
'-x+1/2,-y+1/2,-z+1/2'
'-y+3/4,x+1/4,z+3/4'
'y+3/4,-x+1/4,-z+3/4'
'-x,-y+1/2,z'
'x,y+1/2,-z'
'y+3/4,-x+3/4,z+1/4'
'-y+3/4,x+3/4,-z+1/4'
'x+1/2,-y+1/2,-z+1/2'
'-x+1/2,y+1/2,z+1/2'
'-y+3/4,-x+3/4,-z+1/4'
'y+3/4,x+3/4,z+1/4'
'-x,y+1/2,-z'
'x,-y+1/2,z'
'y+3/4,x+1/4,-z+3/4'
'-y+3/4,-x+1/4,z+3/4'
loop_
_atom_site_label
_atom_site_fract_x
_atom_site_fract_y
_atom_site_fract_z
Sm1 0.0000 0.2500 0.3750
Y1 0.0000 0.2500 0.8750
H1 0.2421 0.0000 0.0000
# calculated total energy = -28.75 eV per formula unit
# V = 294.83 Å³/cell
# size of the total moment = 0.00 μB per cell